Record 1
Li2Mg4In: optimized geometry, PBE.

Output
Energy above the most stable polymorph in this dataset = 0.000 eV/atom
Mass density = 2.51 g cm⁻³
Formation energy from the elements = -0.081 eV/atom

a b c (Å): 5.0270 19.4436 3.0625
angles (deg): 90.00 90.00 90.00
With the nearest neighbours (Å) after each atom.
Fractional positions:
Li 0.0000 0.0663 0.0000  1 Li 2.58
Li 0.0000 0.9337 0.0000  1 Li 2.58
Li 0.5000 0.4337 0.0000  1 Li 2.58
Li 0.5000 0.5663 0.0000  1 Li 2.58
Mg 0.0000 0.2040 0.5000  10 Mg 3.06-3.26, 2 Li 3.08
Mg 0.0000 0.3520 0.0000  2 Li 2.97, 8 Mg 3.06-3.26, 2 In 3.26
Mg 0.0000 0.6480 0.0000  2 Li 2.97, 8 Mg 3.06-3.26, 2 In 3.26
Mg 0.0000 0.7960 0.5000  10 Mg 3.06-3.26, 2 Li 3.08
Mg 0.5000 0.1480 0.0000  2 Li 2.97, 8 Mg 3.06-3.26, 2 In 3.26
Mg 0.5000 0.2960 0.5000  10 Mg 3.06-3.26, 2 Li 3.08
Mg 0.5000 0.7040 0.5000  10 Mg 3.06-3.26, 2 Li 3.08
Mg 0.5000 0.8520 0.0000  2 Li 2.97, 8 Mg 3.06-3.26, 2 In 3.26
In 0.0000 0.5000 0.5000  2 In 3.06, 8 Li 3.21, 4 Mg 3.26
In 0.5000 0.0000 0.5000  2 In 3.06, 8 Li 3.21, 4 Mg 3.26


Record 2
Li5Mg2In5: optimized geometry, PBE.

Output
Mass density = 4.43 g cm⁻³
Formation energy from the elements = -0.208 eV/atom

a b c (Å): 4.8199 4.8199 12.3501
angles (deg): 91.36 91.36 59.13
With the nearest neighbours (Å) after each atom.
Fractional positions:
Li 0.0000 0.0000 0.0000  6 In 2.96-2.97, 2 Li 3.21
Li 0.0014 0.0014 0.7401  4 In 2.93-2.97, 3 Mg 2.93-2.96, 1 Li 3.21
Li 0.3344 0.3344 0.5799  7 In 2.94-2.97, 1 Mg 3.00
Li 0.6656 0.6656 0.4201  7 In 2.94-2.97, 1 Mg 3.00
Li 0.9986 0.9986 0.2599  4 In 2.93-2.97, 3 Mg 2.93-2.96, 1 Li 3.21
Mg 0.3326 0.3326 0.8228  4 Li 2.93-3.00, 4 In 2.98-3.23
Mg 0.6674 0.6674 0.1772  4 Li 2.93-3.00, 4 In 2.98-3.23
In 0.0000 0.0000 0.5000  8 Li 2.94-2.97
In 0.3312 0.3312 0.3393  7 Li 2.93-2.97, 1 In 3.14
In 0.3351 0.3351 0.0848  3 Li 2.96-2.97, 4 Mg 2.98-3.23, 1 In 3.14
In 0.6649 0.6649 0.9152  3 Li 2.96-2.97, 4 Mg 2.98-3.23, 1 In 3.14
In 0.6688 0.6688 0.6607  7 Li 2.93-2.97, 1 In 3.14


Record 3
LiMgIn4: optimized geometry, PBE.

Output
Mass density = 5.10 g cm⁻³
Formation energy from the elements = 0.056 eV/atom

a b c (Å): 6.0903 6.0903 6.0903
angles (deg): 60.00 60.00 60.00
With the nearest neighbours (Å) after each atom.
Fractional positions:
Li 0.0000 0.0000 0.0000  12 In 3.57, 4 Mg 3.73
Mg 0.7500 0.7500 0.7500  12 In 3.57, 4 Li 3.73
In 0.3748 0.3748 0.3748  6 In 3.04-3.05
In 0.3748 0.3748 0.8755  6 In 3.04-3.05
In 0.3748 0.8755 0.3748  6 In 3.04-3.05
In 0.8755 0.3748 0.3748  6 In 3.04-3.05